(1)
# Pb12Br7ClO8, relaxed, DFT PBE-GGA
# formation energy from raw total energies = -1.1141 eV/atom
# VASP energy = -4.60 eV/atom
data_Pb12Br7ClO8
_chemical_formula_sum 'Pb12 Br7 Cl1 O8'
_symmetry_space_group_name_H-M 'P 1 m 1'
_symmetry_Int_Tables_number 6
_symmetry_space_group_name_Hall 'P -2y'
_cell_length_a 10.222
_cell_length_b 5.998
_cell_length_c 12.411
_cell_angle_alpha 90.00
_cell_angle_beta 90.45
_cell_angle_gamma 90.00
loop_
_atom_site_label
_atom_site_type_symbol
_atom_site_fract_x
_atom_site_fract_y
_atom_site_fract_z
_atom_site_occupancy
Pb1 Pb 0.000 0.000 0.000 1
Pb2 Pb 0.065 0.000 0.501 1
Pb3 Pb 0.146 0.500 0.155 1
Pb4 Pb 0.213 0.500 0.867 1
Pb5 Pb 0.356 0.000 0.030 1
Pb6 Pb 0.427 0.000 0.743 1
Pb7 Pb 0.496 0.500 0.387 1
Pb8 Pb 0.568 0.500 0.900 1
Pb9 Pb 0.641 0.000 0.237 1
Pb10 Pb 0.709 0.000 0.526 1
Pb11 Pb 0.853 0.500 0.365 1
Pb12 Pb 0.921 0.500 0.654 1
Br1 Br 0.091 0.000 0.755 1
Br2 Br 0.199 0.500 0.570 1
Br3 Br 0.362 0.000 0.318 1
Br4 Br 0.589 0.500 0.641 1
Br5 Br 0.703 0.000 0.824 1
Br6 Br 0.866 0.500 0.072 1
Br7 Br 0.974 0.000 0.254 1
Cl1 Cl 0.472 0.500 0.140 1
O1 O 0.173 0.246 0.022 1
O2 O 0.397 0.254 0.876 1
O3 O 0.669 0.254 0.369 1
O4 O 0.892 0.246 0.521 1

***

(2)
# Pu2Br2ClO, relaxed, DFT PBE-GGA
# formation energy from raw total energies = -1.9288 eV/atom
# VASP energy = -8.40 eV/atom
data_Pu2Br2ClO
_chemical_formula_sum 'Pu4 Br4 Cl2 O2'
_symmetry_space_group_name_H-M 'P m c 21'
_symmetry_Int_Tables_number 26
_symmetry_space_group_name_Hall 'P 2c -2'
_cell_length_a 3.874
_cell_length_b 11.404
_cell_length_c 7.576
_cell_angle_alpha 90.00
_cell_angle_beta 90.00
_cell_angle_gamma 90.00
loop_
_atom_site_label
_atom_site_type_symbol
_atom_site_fract_x
_atom_site_fract_y
_atom_site_fract_z
_atom_site_occupancy
Pu1 Pu 0.000 0.068 0.000 1
Pu2 Pu 0.500 0.222 0.382 1
Br1 Br 0.000 0.387 0.522 1
Br2 Br 0.500 0.273 0.008 1
Cl1 Cl 0.500 0.075 0.684 1
O1 O 0.000 0.115 0.324 1

***

(3)
# Rb6Br2Cl3O, relaxed, DFT PBE-GGA
# formation energy from raw total energies = -1.6301 eV/atom
# VASP energy = -3.27 eV/atom
data_Rb6Br2Cl3O
_chemical_formula_sum 'Rb12 Br4 Cl6 O2'
_symmetry_space_group_name_H-M 'C 1 2/m 1'
_symmetry_Int_Tables_number 12
_symmetry_space_group_name_Hall '-C 2y'
_cell_length_a 8.268
_cell_length_b 14.090
_cell_length_c 8.217
_cell_angle_alpha 90.00
_cell_angle_beta 108.97
_cell_angle_gamma 90.00
loop_
_atom_site_label
_atom_site_type_symbol
_atom_site_fract_x
_atom_site_fract_y
_atom_site_fract_z
_atom_site_occupancy
Rb1 Rb 0.223 0.000 0.261 1
Rb2 Rb 0.243 0.155 0.755 1
Br1 Br 0.000 0.330 0.500 1
Cl1 Cl 0.000 0.169 0.000 1
Cl2 Cl 0.000 0.500 0.000 1
O1 O 0.000 0.000 0.500 1

***

(4)
# Rb7BrCl2O2, relaxed, DFT PBE-GGA
# formation energy from raw total energies = -1.3688 eV/atom
# VASP energy = -3.21 eV/atom
data_Rb7BrCl2O2
_chemical_formula_sum 'Rb14 Br2 Cl4 O4'
_symmetry_space_group_name_H-M 'I m m 2'
_symmetry_Int_Tables_number 44
_symmetry_space_group_name_Hall 'I 2 -2'
_cell_length_a 4.947
_cell_length_b 25.735
_cell_length_c 7.060
_cell_angle_alpha 90.00
_cell_angle_beta 90.00
_cell_angle_gamma 90.00
loop_
_atom_site_label
_atom_site_type_symbol
_atom_site_fract_x
_atom_site_fract_y
_atom_site_fract_z
_atom_site_occupancy
Rb1 Rb 0.000 0.000 0.000 1
Rb2 Rb 0.000 0.089 0.465 1
Rb3 Rb 0.000 0.211 0.142 1
Rb4 Rb 0.000 0.383 0.435 1
Br1 Br 0.000 0.500 0.134 1
Cl1 Cl 0.000 0.207 0.641 1
O1 O 0.000 0.104 0.107 1

***

| no. | volume (Å³ per atom) |
| --- | --- |
| 1 | 27.18 |
| 2 | 27.89 |
| 3 | 37.72 |
| 4 | 37.45 |